DFT (meta-GGA SCAN) results for a crystal of Na2ZnIn2 relaxed with PBEsol.

Summary:
energy = -175.8 eV per cell
total magnetization = 0.00 μB per cell
theoretical density = 4.6 g/cm3

a = 4.028 Å, b = 4.028 Å, c = 15.298 Å
α = 90.00°, β = 90.00°, γ = 90.00°
Space group I4/mmm (No. 139)
Inequivalent atoms, fractional coordinates:
Na 0.000 0.500 0.250 x4
Zn 0.000 0.000 0.000 x2
In 0.000 0.000 0.409 x4


DFT (meta-GGA SCAN) results for a crystal of Y3FeTc relaxed with PBEsol.

Summary:
energy = -133.3 eV per cell
total magnetization = 2.35 μB per cell
theoretical density = 5.9 g/cm3

a = 4.898 Å, b = 4.898 Å, c = 4.898 Å
α = 90.00°, β = 90.00°, γ = 90.00°
Space group Pm-3m (No. 221)
Inequivalent atoms, fractional coordinates:
Y 0.000 0.000 0.500 x3
Fe 0.000 0.000 0.000 x1
Tc 0.500 0.500 0.500 x1


DFT (meta-GGA SCAN) results for a crystal of TlGaOs3 relaxed with PBEsol.

Summary:
energy = -287.7 eV per cell
total magnetization = 2.85 μB per cell
theoretical density = 12.2 g/cm3

a = 4.864 Å, b = 4.864 Å, c = 4.864 Å
α = 90.00°, β = 90.00°, γ = 90.00°
Space group Pm-3m (No. 221)
Inequivalent atoms, fractional coordinates:
Tl 0.000 0.000 0.000 x1
Ga 0.500 0.500 0.500 x1
Os 0.000 0.000 0.500 x3


DFT (meta-GGA SCAN) results for a crystal of ZnCoIr2 relaxed with PBEsol.

Summary:
energy = -345.7 eV per cell
total magnetization = 0.00 μB per cell
theoretical density = 16.5 g/cm3

a = 3.791 Å, b = 3.791 Å, c = 7.125 Å
α = 90.00°, β = 90.00°, γ = 90.00°
Space group I4/mmm (No. 139)
Inequivalent atoms, fractional coordinates:
Zn 0.000 0.000 0.000 x2
Co 0.000 0.000 0.500 x2
Ir 0.000 0.500 0.250 x4


DFT (meta-GGA SCAN) results for a crystal of ZnGaCl3 relaxed with PBEsol.

Summary:
energy = -56.4 eV per cell
total magnetization = 0.40 μB per cell
theoretical density = 3.6 g/cm3
ΔE_f (raw) = -2.6 eV per formula unit

a = 4.810 Å, b = 4.810 Å, c = 4.810 Å
α = 90.00°, β = 90.00°, γ = 90.00°
Space group Pm-3m (No. 221)
Inequivalent atoms, fractional coordinates:
Zn 0.000 0.000 0.000 x1
Ga 0.500 0.500 0.500 x1
Cl 0.000 0.500 0.500 x3


DFT (meta-GGA SCAN) results for a crystal of V9Cr3B8 relaxed with PBEsol.

Summary:
energy = -287.0 eV per cell
total magnetization = 0.00 μB per cell
theoretical density = 6.2 g/cm3

a = 5.605 Å, b = 2.969 Å, c = 11.212 Å
α = 90.00°, β = 90.01°, γ = 90.00°
Space group P2/m (No. 10)
Inequivalent atoms, fractional coordinates:
V 0.000 0.000 0.000 x1
V 0.178 0.500 0.340 x2
V 0.180 0.500 0.837 x2
V 0.322 0.500 0.589 x2
V 0.323 0.500 0.090 x2
Cr 0.000 0.000 0.500 x1
Cr 0.500 0.000 0.251 x2
B 0.113 0.000 0.692 x2
B 0.114 0.000 0.195 x2
B 0.387 0.000 0.443 x2
B 0.388 0.000 0.943 x2


DFT (meta-GGA SCAN) results for a crystal of KMgSc4 relaxed with PBEsol.

Summary:
energy = -268.5 eV per cell
total magnetization = 3.20 μB per cell
theoretical density = 2.4 g/cm3

a = 8.785 Å, b = 8.785 Å, c = 8.785 Å
α = 90.00°, β = 90.00°, γ = 90.00°
Space group F-43m (No. 216)
Inequivalent atoms, fractional coordinates:
K 0.000 0.000 0.000 x4
Mg 0.250 0.250 0.250 x4
Sc 0.122 0.122 0.622 x16


DFT (meta-GGA SCAN) results for a crystal of ZrCoAg2 relaxed with PBEsol.

Summary:
energy = -110.1 eV per cell
total magnetization = 1.78 μB per cell
theoretical density = 9.4 g/cm3

a = 2.847 Å, b = 2.847 Å, c = 7.943 Å
α = 90.00°, β = 90.00°, γ = 90.00°
Space group P4/mmm (No. 123)
Inequivalent atoms, fractional coordinates:
Zr 0.000 0.000 0.000 x1
Co 0.000 0.000 0.500 x1
Ag 0.500 0.500 0.281 x2


DFT (meta-GGA SCAN) results for a crystal of BaSrOs2 relaxed with PBEsol.

Summary:
energy = -598.2 eV per cell
total magnetization = 0.00 μB per cell
theoretical density = 11.8 g/cm3

a = 3.0952 Å, b = 3.0952 Å, c = 30.8769 Å
α = 90.00°, β = 90.00°, γ = 120.00°
Space group R-3m (No. 166, hexagonal axes)
Inequivalent atoms, fractional coordinates:
Ba 0.0000 0.0000 0.0000 x3
Sr 0.0000 0.0000 0.5000 x3
Os 0.0000 0.0000 0.2463 x6


DFT (meta-GGA SCAN) results for a crystal of La2ReTc relaxed with PBEsol.

Summary:
energy = -191.5 eV per cell
total magnetization = 0.00 μB per cell
theoretical density = 9.6 g/cm3

a = 3.116 Å, b = 4.051 Å, c = 7.707 Å
α = 90.00°, β = 95.96°, γ = 90.00°
Space group Pm (No. 6)
Inequivalent atoms, fractional coordinates:
La 0.000 0.000 0.000 x1
La 0.261 0.500 0.598 x1
Re 0.454 0.500 0.246 x1
Tc 0.826 0.000 0.353 x1


DFT (meta-GGA SCAN) results for a crystal of Sc2BAs relaxed with PBEsol.

Summary:
energy = -170.2 eV per cell
total magnetization = 1.30 μB per cell
theoretical density = 3.6 g/cm3

a = 3.4274 Å, b = 3.4274 Å, c = 23.8633 Å
α = 90.00°, β = 90.00°, γ = 120.00°
Space group R-3m (No. 166, hexagonal axes)
Inequivalent atoms, fractional coordinates:
Sc 0.0000 0.0000 0.1127 x6
B 0.0000 0.0000 0.5000 x3
As 0.0000 0.0000 0.0000 x3


DFT (meta-GGA SCAN) results for a crystal of ZnB2O relaxed with PBEsol.

Summary:
energy = -109.7 eV per cell
total magnetization = 0.21 μB per cell
theoretical density = 4.4 g/cm3
ΔE_f (raw) = 7.2 eV per formula unit

a = 5.372 Å, b = 5.372 Å, c = 5.372 Å
α = 90.00°, β = 90.00°, γ = 90.00°
Space group Fm-3m (No. 225)
Inequivalent atoms, fractional coordinates:
Zn 0.000 0.000 0.000 x4
B 0.250 0.250 0.250 x8
O 0.000 0.000 0.500 x4


DFT (meta-GGA SCAN) results for a crystal of TaReBi3 relaxed with PBEsol.

Summary:
energy = -365.0 eV per cell
total magnetization = 4.13 μB per cell
theoretical density = 11.5 g/cm3

a = 5.238 Å, b = 5.238 Å, c = 5.238 Å
α = 90.00°, β = 90.00°, γ = 90.00°
Space group Pm-3m (No. 221)
Inequivalent atoms, fractional coordinates:
Ta 0.000 0.000 0.000 x1
Re 0.500 0.500 0.500 x1
Bi 0.000 0.500 0.500 x3


DFT (meta-GGA SCAN) results for a crystal of CoIrBr relaxed with PBEsol.

Summary:
energy = -419.3 eV per cell
total magnetization = 10.40 μB per cell
theoretical density = 10.6 g/cm3
ΔE_f (raw) = 3.0 eV per formula unit

a = 5.916 Å, b = 5.916 Å, c = 5.916 Å
α = 90.00°, β = 90.00°, γ = 90.00°
Space group F-43m (No. 216)
Inequivalent atoms, fractional coordinates:
Co 0.000 0.000 0.000 x4
Ir 0.250 0.250 0.250 x4
Br 0.000 0.000 0.500 x4


DFT (meta-GGA SCAN) results for a crystal of BaLiMo2 relaxed with PBEsol.

Summary:
energy = -109.3 eV per cell
total magnetization = 0.00 μB per cell
theoretical density = 6.4 g/cm3

a = 3.263 Å, b = 3.263 Å, c = 8.207 Å
α = 90.00°, β = 90.00°, γ = 90.00°
Space group P4mm (No. 99)
Inequivalent atoms, fractional coordinates:
Ba 0.000 0.000 0.000 x1
Li 0.500 0.500 0.344 x1
Mo 0.000 0.000 0.548 x1
Mo 0.500 0.500 0.687 x1


DFT (meta-GGA SCAN) results for a crystal of Cr3Se4 relaxed with PBEsol.

Summary:
energy = -140.9 eV per cell
total magnetization = 9.76 μB per cell
theoretical density = 6.1 g/cm3
ΔE_f (raw) = -5.4 eV per formula unit

a = 3.5939 Å, b = 3.5939 Å, c = 11.5423 Å
α = 90.00°, β = 90.00°, γ = 120.00°
Space group P-3m1 (No. 164)
Inequivalent atoms, fractional coordinates:
Cr 0.0000 0.0000 0.0000 x1
Cr 0.0000 0.0000 0.2655 x2
Se 0.3333 0.6667 0.3766 x2
Se 0.3333 0.6667 0.8728 x2


DFT (meta-GGA SCAN) results for a crystal of CuHg2As relaxed with PBEsol.

Summary:
energy = -342.0 eV per cell
total magnetization = 0.00 μB per cell
theoretical density = 11.6 g/cm3

a = 2.861 Å, b = 4.639 Å, c = 11.678 Å
α = 90.00°, β = 90.00°, γ = 90.00°
Space group Imm2 (No. 44)
Inequivalent atoms, fractional coordinates:
Cu 0.000 0.000 0.000 x2
Hg 0.000 0.000 0.521 x2
Hg 0.000 0.500 0.707 x2
As 0.000 0.500 0.325 x2


DFT (meta-GGA SCAN) results for a crystal of BaLaPb2 relaxed with PBEsol.

Summary:
energy = -237.3 eV per cell
total magnetization = 0.00 μB per cell
theoretical density = 8.7 g/cm3

a = 3.725 Å, b = 3.725 Å, c = 9.517 Å
α = 90.00°, β = 90.00°, γ = 90.00°
Space group P4/mmm (No. 123)
Inequivalent atoms, fractional coordinates:
Ba 0.000 0.000 0.000 x1
La 0.000 0.000 0.500 x1
Pb 0.500 0.500 0.265 x2


DFT (meta-GGA SCAN) results for a crystal of Mg2ZnTcGe relaxed with PBEsol.

Summary:
energy = -74.2 eV per cell
total magnetization = 1.73 μB per cell
theoretical density = 4.4 g/cm3

a = 4.813 Å, b = 4.813 Å, c = 4.640 Å
α = 90.00°, β = 90.00°, γ = 90.00°
Space group P4/mmm (No. 123)
Inequivalent atoms, fractional coordinates:
Mg 0.000 0.500 0.000 x2
Zn 0.000 0.000 0.500 x1
Tc 0.500 0.500 0.500 x1
Ge 0.500 0.500 0.000 x1


DFT (meta-GGA SCAN) results for a crystal of LiIn2Hg relaxed with PBEsol.

Summary:
energy = -275.9 eV per cell
total magnetization = 0.00 μB per cell
theoretical density = 8.3 g/cm3

a = 5.996 Å, b = 8.754 Å, c = 3.345 Å
α = 90.00°, β = 90.00°, γ = 90.00°
Space group Cmmm (No. 65)
Inequivalent atoms, fractional coordinates:
Li 0.000 0.000 0.000 x2
In 0.250 0.250 0.500 x4
Hg 0.000 0.500 0.000 x2